[1]
Material: AcNd6DyTm2
Method: DFT, PBE
State: optimized geometry

Lattice parameters (Å, degrees): 9.453 15.377 9.732 90.00 95.73 90.00
Space group C2/c (No. 15)
Inequivalent atoms, fractional coordinates:
1 Ac 0.000 0.031 0.250 x4
2 Nd 0.063 0.181 0.946 x8
3 Nd 0.097 0.389 0.118 x8
4 Nd 0.222 0.227 0.318 x8
5 Dy 0.000 0.412 0.750 x4
6 Tm 0.241 0.448 0.451 x8

theoretical density: 7.516 g cm⁻³
calculated total energy: -4.507 eV per atom



[2]
Material: YHgPb2
Method: DFT, PBE
State: optimized geometry

Lattice parameters (Å, degrees): 3.725 4.456 6.762 90.00 90.00 90.00
Space group Pmm2 (No. 25)
Inequivalent atoms, fractional coordinates:
1 Y 0.000 0.000 0.000 x1
2 Hg 0.500 0.500 0.242 x1
3 Pb 0.000 0.000 0.489 x1
4 Pb 0.500 0.500 0.758 x1

theoretical density: 10.415 g cm⁻³
calculated total energy: -3.774 eV per atom



[3]
Material: Tl2ZnSb
Method: DFT, PBE
State: optimized geometry

Lattice parameters (Å, degrees): 3.591 5.266 11.745 90.00 90.00 90.00
Space group Imm2 (No. 44)
Inequivalent atoms, fractional coordinates:
1 Tl 0.000 0.000 0.000 x2
2 Tl 0.000 0.500 0.198 x2
3 Zn 0.000 0.500 0.722 x2
4 Sb 0.000 0.000 0.407 x2

energy relative to the elements, uncorrected: 0.42 eV/f.u.
theoretical density: 8.910 g cm⁻³



[4]
Material: TlInBiSe3
Method: DFT, PBE
State: optimized geometry

Lattice parameters (Å, degrees): 8.397 4.818 9.868 90.00 100.83 90.00
Space group P2_1/m (No. 11)
Inequivalent atoms, fractional coordinates:
1 Tl 0.187 0.250 0.212 x2
2 In 0.118 0.250 0.599 x2
3 Bi 0.337 0.750 0.872 x2
4 Se 0.110 0.250 0.869 x2
5 Se 0.215 0.750 0.521 x2
6 Se 0.437 0.750 0.153 x2

energy relative to the elements, uncorrected: -2.15 eV/f.u.
theoretical density: 6.480 g cm⁻³